Below is an optimized crystal structure of Sc7Mo, with properties calculated at the PBE level.

abc: 8.935 8.935 8.935
angles: 90.00 90.00 90.00
Space group Fm-3m (No. 225)
Inequivalent atoms, fractional coordinates:
Sc 0.000 0.000 0.000 (multiplicity 4)
Sc 0.000 0.250 0.250 (multiplicity 24)
Mo 0.000 0.000 0.500 (multiplicity 4)

Energy of formation from the pure elements (eV per atom): 0.13
Magnetic moment (Bohr magnetons per cell): 0.00
Volume (Å³ per atom): 22.3